The following is a PBE calculation of a relaxed structure of La4Ce3NpN8, from the Alexandria database.

Properties
ΔE_f (raw) in eV/atom: -1.38
M_tot in μB per cell: 2.6

Cell and atoms, written as CIF:
```
data_La4Ce3NpN8
_chemical_formula_sum 'La4 Ce3 Np1 N8'
_space_group_name_H-M_alt 'P 1'
_space_group_IT_number 1
_space_group_name_Hall 'P 1'
_cell_length_a 7.275
_cell_length_b 7.275
_cell_length_c 7.275
_cell_angle_alpha 59.53
_cell_angle_beta 59.53
_cell_angle_gamma 59.53
loop_
_atom_site_label
_atom_site_type_symbol
_atom_site_fract_x
_atom_site_fract_y
_atom_site_fract_z
La1 La 0.000 0.000 0.000
La2 La 0.000 0.500 0.500
La3 La 0.500 0.000 0.500
La4 La 0.500 0.500 0.000
Ce1 Ce 0.000 0.000 0.500
Ce2 Ce 0.000 0.500 0.000
Ce3 Ce 0.500 0.000 0.000
Np1 Np 0.500 0.500 0.500
N1 N 0.241 0.241 0.241
N2 N 0.257 0.729 0.729
N3 N 0.271 0.271 0.743
N4 N 0.271 0.743 0.271
N5 N 0.729 0.257 0.729
N6 N 0.729 0.729 0.257
N7 N 0.743 0.271 0.271
N8 N 0.759 0.759 0.759
```